First-principles (PBE) data for a geometry-optimized CuTeAu structure, as listed in Alexandria.

a b c (Å): 6.8970 6.8359 3.0754
angles (deg): 78.17 75.95 25.88
With the nearest neighbours (Å) after each atom.
Fractional positions:
1 Au 0.9678 0.9678 0.0322  4 Cu 2.63-2.79
2 Te 0.6889 0.6889 0.3111  4 Cu 2.89-3.03, 4 Te 3.08
3 Cu 0.3433 0.3433 0.6567  4 Au 2.63-2.79, 2 Te 2.89

Values from the calculation:
The space group is No. 42. The calculation puts the final energy at -3.25 eV/atom. As for the density of states at the Fermi level: 0.380 states/eV/atom. The density comes out at 10504 kg/m³. Its spin magnetization is 0.00 μB/cell.